First-principles (PBE+U) data for a relaxed structure of CoS2F, as listed in Alexandria via LeMat-Bulk.

Its relative energy among the computed polymorphs is 0 meV/atom. The calculation puts the density of states at the Fermi level at 1.3 states/eV/f.u. The value obtained for the theoretical density is 3.83 g/cm3.

Unit cell a=3.3932 b=3.3932 c=18.5150 alpha=90.00 beta=90.00 gamma=120.00
Space group R-3m (No. 166, hexagonal axes)
Unique sites:
Co 0.0000 0.0000 0.0000 x3
S 0.0000 0.0000 0.3900 x6
F 0.0000 0.0000 0.5000 x3